Entry 1:
# OsPtPb2 PBE optimized geometry
# ΔH_f (0 K): 666 meV/atom
# DOS at the Fermi energy: 1.6 states/eV/f.u.
# uncorrected energy: -44.05 eV/cell
# ρ: 16.62 g cm⁻³
data_OsPtPb2
_chemical_formula_sum 'Os2 Pt2 Pb4'
_cell_length_a 4.529
_cell_length_b 4.529
_cell_length_c 7.790
_cell_angle_alpha 90.00
_cell_angle_beta 90.00
_cell_angle_gamma 90.00
_space_group_name_H-M_alt 'I 4/m m m'
_space_group_IT_number 139
_space_group_name_Hall '-I 4 2'
loop_
_atom_site_label
_atom_site_fract_x
_atom_site_fract_y
_atom_site_fract_z
_atom_site_occupancy
Os1 0.000 0.000 0.000 1
Pt1 0.000 0.000 0.500 1
Pb1 0.000 0.500 0.250 1



Entry 2:
# ThTlPb2 PBE optimized geometry
# ΔH_f (0 K): -219 meV/atom
# DOS at the Fermi energy: 2.5 states/eV/f.u.
# uncorrected energy: -18.08 eV/cell
# ρ: 12.13 g cm⁻³
data_ThTlPb2
_chemical_formula_sum 'Th1 Tl1 Pb2'
_cell_length_a 4.934
_cell_length_b 4.934
_cell_length_c 4.785
_cell_angle_alpha 90.00
_cell_angle_beta 90.00
_cell_angle_gamma 90.00
_space_group_name_H-M_alt 'P 4/m m m'
_space_group_IT_number 123
_space_group_name_Hall '-P 4 2'
loop_
_atom_site_label
_atom_site_fract_x
_atom_site_fract_y
_atom_site_fract_z
_atom_site_occupancy
Th1 0.000 0.000 0.000 1
Tl1 0.500 0.500 0.000 1
Pb1 0.000 0.500 0.500 1



Entry 3:
# K4Pm3TlO8 PBE optimized geometry
# uncorrected energy: -288.71 eV/cell
# formation energy (no corrections): -2.223 eV/atom
# ρ: 5.48 g cm⁻³
data_K4Pm3TlO8
_chemical_formula_sum 'K12 Pm9 Tl3 O24'
_cell_length_a 7.1584
_cell_length_b 7.1584
_cell_length_c 18.9366
_cell_angle_alpha 90.00
_cell_angle_beta 90.00
_cell_angle_gamma 120.00
_space_group_name_H-M_alt 'R -3 m'
_space_group_IT_number 166
_space_group_name_Hall '-R 3 2"'
loop_
_atom_site_label
_atom_site_fract_x
_atom_site_fract_y
_atom_site_fract_z
_atom_site_occupancy
K1 0.0000 0.0000 0.0000 1
K2 0.0000 0.5000 0.0000 1
Pm1 0.0000 0.5000 0.5000 1
Tl1 0.0000 0.0000 0.5000 1
O1 0.0000 0.0000 0.2293 1
O2 0.0023 0.5012 0.7679 1



Entry 4:
# Cd2SiOsI PBE optimized geometry
# DOS at the Fermi energy: 4.3 states/eV/f.u.
# uncorrected energy: -16.01 eV/cell
# formation energy (no corrections): 0.804 eV/atom
# ρ: 7.40 g cm⁻³
data_Cd2SiOsI
_chemical_formula_sum 'Cd2 Si1 Os1 I1'
_cell_length_a 5.292
_cell_length_b 5.292
_cell_length_c 4.571
_cell_angle_alpha 90.00
_cell_angle_beta 90.00
_cell_angle_gamma 90.00
_space_group_name_H-M_alt 'P 4/m m m'
_space_group_IT_number 123
_space_group_name_Hall '-P 4 2'
loop_
_atom_site_label
_atom_site_fract_x
_atom_site_fract_y
_atom_site_fract_z
_atom_site_occupancy
Cd1 0.000 0.500 0.000 1
Si1 0.000 0.000 0.000 1
Os1 0.000 0.000 0.500 1
I1 0.500 0.500 0.500 1



Entry 5:
# CaCd2P PBE optimized geometry
# ΔH_f (0 K): -121 meV/atom
# DOS at the Fermi energy: 1.4 states/eV/f.u.
# uncorrected energy: -9.73 eV/cell
# ρ: 5.17 g cm⁻³
data_CaCd2P
_chemical_formula_sum 'Ca1 Cd2 P1'
_cell_length_a 4.051
_cell_length_b 4.051
_cell_length_c 5.792
_cell_angle_alpha 90.00
_cell_angle_beta 90.00
_cell_angle_gamma 90.00
_space_group_name_H-M_alt 'P 4/m m m'
_space_group_IT_number 123
_space_group_name_Hall '-P 4 2'
loop_
_atom_site_label
_atom_site_fract_x
_atom_site_fract_y
_atom_site_fract_z
_atom_site_occupancy
Ca1 0.000 0.000 0.000 1
Cd1 0.500 0.500 0.267 1
P1 0.000 0.000 0.500 1



Entry 6:
# Ac5Mg3Tl12 PBE optimized geometry
# ΔH_f (0 K): 160 meV/atom
# DOS at the Fermi energy: 13.9 states/eV/f.u.
# uncorrected energy: -404.19 eV/cell
# ρ: 7.73 g cm⁻³
data_Ac5Mg3Tl12
_chemical_formula_sum 'Ac40 Mg24 Tl96'
_cell_length_a 18.463
_cell_length_b 18.463
_cell_length_c 18.463
_cell_angle_alpha 90.00
_cell_angle_beta 90.00
_cell_angle_gamma 90.00
_space_group_name_H-M_alt 'I a -3 d'
_space_group_IT_number 230
_space_group_name_Hall '-I 4bd 2c 3'
loop_
_atom_site_label
_atom_site_fract_x
_atom_site_fract_y
_atom_site_fract_z
_atom_site_occupancy
Ac1 0.000 0.000 0.000 1
Ac2 0.000 0.250 0.375 1
Mg1 0.000 0.250 0.125 1
Tl1 0.006 0.091 0.650 1



Entry 7:
# LiCuAs2 PBE optimized geometry
# ΔH_f (0 K): -117 meV/atom
# DOS at the Fermi energy: 0.7 states/eV/f.u.
# uncorrected energy: -15.78 eV/cell
# ρ: 5.42 g cm⁻³
data_LiCuAs2
_chemical_formula_sum 'Li1 Cu1 As2'
_cell_length_a 2.891
_cell_length_b 4.887
_cell_length_c 4.774
_cell_angle_alpha 90.00
_cell_angle_beta 90.00
_cell_angle_gamma 90.00
_space_group_name_H-M_alt 'P m m 2'
_space_group_IT_number 25
loop_
_space_group_symop_operation_xyz
'x,y,z'
'-x,-y,z'
'-x,y,z'
'x,-y,z'
loop_
_atom_site_label
_atom_site_fract_x
_atom_site_fract_y
_atom_site_fract_z
_atom_site_occupancy
Li1 0.000 0.000 0.000 1
Cu1 0.500 0.500 0.274 1
As1 0.500 0.000 0.498 1
As2 0.500 0.500 0.779 1



Entry 8:
# AlSi2Au PBE optimized geometry
# DOS at the Fermi energy: 2.8 states/eV/f.u.
# uncorrected energy: -16.72 eV/cell
# formation energy (no corrections): 0.287 eV/atom
# ρ: 7.14 g cm⁻³
data_AlSi2Au
_chemical_formula_sum 'Al1 Si2 Au1'
_cell_length_a 2.977
_cell_length_b 2.977
_cell_length_c 7.353
_cell_angle_alpha 90.00
_cell_angle_beta 90.00
_cell_angle_gamma 90.00
_space_group_name_H-M_alt 'P 4/m m m'
_space_group_IT_number 123
_space_group_name_Hall '-P 4 2'
loop_
_atom_site_label
_atom_site_fract_x
_atom_site_fract_y
_atom_site_fract_z
_atom_site_occupancy
Al1 0.000 0.000 0.000 1
Si1 0.500 0.500 0.244 1
Au1 0.000 0.000 0.500 1



Entry 9:
# NaCrTeI2 PBE optimized geometry
# DOS at the Fermi energy: 2.5 states/eV/f.u.
# uncorrected energy: -18.82 eV/cell
# formation energy (no corrections): -0.327 eV/atom
# ρ: 4.32 g cm⁻³
data_NaCrTeI2
_chemical_formula_sum 'Na1 Cr1 Te1 I2'
_cell_length_a 5.794
_cell_length_b 5.794
_cell_length_c 5.223
_cell_angle_alpha 90.00
_cell_angle_beta 90.00
_cell_angle_gamma 90.00
_space_group_name_H-M_alt 'P 4/m m m'
_space_group_IT_number 123
_space_group_name_Hall '-P 4 2'
loop_
_atom_site_label
_atom_site_fract_x
_atom_site_fract_y
_atom_site_fract_z
_atom_site_occupancy
Na1 0.000 0.000 0.000 1
Cr1 0.500 0.500 0.500 1
Te1 0.500 0.500 0.000 1
I1 0.000 0.500 0.500 1



Entry 10:
# Pr2DyTlN PBE optimized geometry
# DOS at the Fermi energy: 2.4 states/eV/f.u.
# uncorrected energy: -28.97 eV/cell
# formation energy (no corrections): -0.823 eV/atom
# ρ: 8.78 g cm⁻³
data_Pr2DyTlN
_chemical_formula_sum 'Pr2 Dy1 Tl1 N1'
_cell_length_a 5.099
_cell_length_b 5.099
_cell_length_c 4.823
_cell_angle_alpha 90.00
_cell_angle_beta 90.00
_cell_angle_gamma 90.00
_space_group_name_H-M_alt 'P 4/m m m'
_space_group_IT_number 123
_space_group_name_Hall '-P 4 2'
loop_
_atom_site_label
_atom_site_fract_x
_atom_site_fract_y
_atom_site_fract_z
_atom_site_occupancy
Pr1 0.000 0.500 0.000 1
Dy1 0.000 0.000 0.500 1
Tl1 0.500 0.500 0.500 1
N1 0.000 0.000 0.000 1



Entry 11:
# BeV2Sb PBE optimized geometry
# DOS at the Fermi energy: 2.9 states/eV/f.u.
# uncorrected energy: -75.65 eV/cell
# formation energy (no corrections): 0.217 eV/atom
# ρ: 6.36 g cm⁻³
data_BeV2Sb
_chemical_formula_sum 'Be3 V6 Sb3'
_cell_length_a 4.0732
_cell_length_b 4.0732
_cell_length_c 12.6876
_cell_angle_alpha 90.00
_cell_angle_beta 90.00
_cell_angle_gamma 120.00
_space_group_name_H-M_alt 'R -3 m'
_space_group_IT_number 166
_space_group_name_Hall '-R 3 2"'
loop_
_atom_site_label
_atom_site_fract_x
_atom_site_fract_y
_atom_site_fract_z
_atom_site_occupancy
Be1 0.0000 0.0000 0.0000 1
V1 0.0000 0.0000 0.2835 1
Sb1 0.0000 0.0000 0.5000 1



Entry 12:
# KGaSn PBE optimized geometry
# ΔH_f (0 K): -58 meV/atom
# DOS at the Fermi energy: 0.7 states/eV/f.u.
# uncorrected energy: -33.20 eV/cell
# ρ: 2.88 g cm⁻³
data_KGaSn
_chemical_formula_sum 'K4 Ga4 Sn4'
_cell_length_a 8.149
_cell_length_b 8.149
_cell_length_c 7.901
_cell_angle_alpha 90.00
_cell_angle_beta 90.00
_cell_angle_gamma 90.00
_space_group_name_H-M_alt 'P 41 2 2'
_space_group_IT_number 91
loop_
_space_group_symop_operation_xyz
'x,y,z'
'-y,x,z+1/4'
'-x,-y,z+1/2'
'y,-x,z+3/4'
'x,-y,-z+1/2'
'-y,-x,-z+1/4'
'-x,y,-z'
'y,x,-z+3/4'
loop_
_atom_site_label
_atom_site_fract_x
_atom_site_fract_y
_atom_site_fract_z
_atom_site_occupancy
K1 0.000 0.365 0.000 1
Ga1 0.367 0.367 0.375 1
Sn1 0.308 0.500 0.750 1



Entry 13:
# Pd3Pb6Au PBE optimized geometry
# ΔH_f (0 K): -142 meV/atom
# DOS at the Fermi energy: 3.5 states/eV/f.u.
# uncorrected energy: -170.09 eV/cell
# ρ: 11.53 g cm⁻³
data_Pd3Pb6Au
_chemical_formula_sum 'Pd12 Pb24 Au4'
_cell_length_a 10.346
_cell_length_b 14.725
_cell_length_c 6.656
_cell_angle_alpha 90.00
_cell_angle_beta 90.00
_cell_angle_gamma 90.00
_space_group_name_H-M_alt 'C m c 21'
_space_group_IT_number 36
loop_
_space_group_symop_operation_xyz
'x,y,z'
'-x,-y,z+1/2'
'-x,y,z'
'x,-y,z+1/2'
'x+1/2,y+1/2,z'
'-x+1/2,-y+1/2,z+1/2'
'-x+1/2,y+1/2,z'
'x+1/2,-y+1/2,z+1/2'
loop_
_atom_site_label
_atom_site_fract_x
_atom_site_fract_y
_atom_site_fract_z
_atom_site_occupancy
Pd1 0.000 0.086 0.000 1
Pd2 0.146 0.377 0.057 1
Pb1 0.000 0.237 0.299 1
Pb2 0.000 0.470 0.372 1
Pb3 0.186 0.208 0.839 1
Pb4 0.187 0.025 0.279 1
Au1 0.000 0.337 0.691 1



Entry 14:
# PmNdHo2Th PBE optimized geometry
# ΔH_f (0 K): 53 meV/atom
# DOS at the Fermi energy: 8.0 states/eV/f.u.
# uncorrected energy: -51.66 eV/cell
# ρ: 8.50 g cm⁻³
data_PmNdHo2Th
_chemical_formula_sum 'Pm2 Nd2 Ho4 Th2'
_cell_length_a 6.316
_cell_length_b 5.780
_cell_length_c 9.628
_cell_angle_alpha 90.00
_cell_angle_beta 108.97
_cell_angle_gamma 90.00
_space_group_name_H-M_alt 'P 1 21/m 1'
_space_group_IT_number 11
loop_
_space_group_symop_operation_xyz
'x,y,z'
'-x,-y,-z'
'-x,y+1/2,-z'
'x,-y+1/2,z'
loop_
_atom_site_label
_atom_site_fract_x
_atom_site_fract_y
_atom_site_fract_z
_atom_site_occupancy
Pm1 0.033 0.250 0.395 1
Nd1 0.250 0.250 0.809 1
Ho1 0.162 0.750 0.005 1
Ho2 0.372 0.750 0.405 1
Th1 0.420 0.250 0.204 1



Entry 15:
# Er4TeSe PBE optimized geometry
# DOS at the Fermi energy: 4.0 states/eV/f.u.
# uncorrected energy: -116.42 eV/cell
# formation energy (no corrections): -0.705 eV/atom
# ρ: 7.72 g cm⁻³
data_Er4TeSe
_chemical_formula_sum 'Er16 Te4 Se4'
_cell_length_a 9.530
_cell_length_b 9.530
_cell_length_c 8.293
_cell_angle_alpha 90.00
_cell_angle_beta 90.00
_cell_angle_gamma 90.00
_space_group_name_H-M_alt 'I 41 m d'
_space_group_IT_number 109
_space_group_name_Hall 'I 4bw -2'
loop_
_atom_site_label
_atom_site_fract_x
_atom_site_fract_y
_atom_site_fract_z
_atom_site_occupancy
Er1 0.000 0.197 0.000 1
Er2 0.000 0.216 0.464 1
Te1 0.000 0.000 0.721 1
Se1 0.000 0.000 0.244 1



Entry 16:
# KInC PBE optimized geometry
# ΔH_f (0 K): 344 meV/atom
# DOS at the Fermi energy: 0.0 states/eV/f.u.
# uncorrected energy: -24.05 eV/cell
# ρ: 3.17 g cm⁻³
data_KInC
_chemical_formula_sum 'K2 In2 C2'
_cell_length_a 3.682
_cell_length_b 7.120
_cell_length_c 7.401
_cell_angle_alpha 70.38
_cell_angle_beta 75.90
_cell_angle_gamma 75.14
_space_group_name_H-M_alt 'P 1'
_space_group_IT_number 1
loop_
_space_group_symop_operation_xyz
'x,y,z'
loop_
_atom_site_label
_atom_site_fract_x
_atom_site_fract_y
_atom_site_fract_z
_atom_site_occupancy
K1 0.000 0.000 0.000 1
K2 0.121 0.416 0.341 1
In1 0.341 0.515 0.816 1
In2 0.770 0.922 0.545 1
C1 0.420 0.673 0.492 1
C2 0.443 0.798 0.320 1



Entry 17:
# CaTbP2Pd5 PBE optimized geometry
# ΔH_f (0 K): -861 meV/atom
# DOS at the Fermi energy: 2.2 states/eV/f.u.
# uncorrected energy: -51.17 eV/cell
# ρ: 8.57 g cm⁻³
data_CaTbP2Pd5
_chemical_formula_sum 'Ca1 Tb1 P2 Pd5'
_cell_length_a 4.178
_cell_length_b 4.178
_cell_length_c 8.800
_cell_angle_alpha 90.00
_cell_angle_beta 90.00
_cell_angle_gamma 90.00
_space_group_name_H-M_alt 'P 4/m m m'
_space_group_IT_number 123
_space_group_name_Hall '-P 4 2'
loop_
_atom_site_label
_atom_site_fract_x
_atom_site_fract_y
_atom_site_fract_z
_atom_site_occupancy
Ca1 0.000 0.000 0.000 1
Tb1 0.000 0.000 0.500 1
P1 0.500 0.500 0.373 1
Pd1 0.000 0.500 0.241 1
Pd2 0.500 0.500 0.000 1



Entry 18:
# NaAgSb2 PBE optimized geometry
# DOS at the Fermi energy: 2.2 states/eV/f.u.
# uncorrected energy: -36.93 eV/cell
# formation energy (no corrections): 0.026 eV/atom
# ρ: 5.40 g cm⁻³
data_NaAgSb2
_chemical_formula_sum 'Na3 Ag3 Sb6'
_cell_length_a 4.3923
_cell_length_b 4.3923
_cell_length_c 20.6569
_cell_angle_alpha 90.00
_cell_angle_beta 90.00
_cell_angle_gamma 120.00
_space_group_name_H-M_alt 'R -3 m'
_space_group_IT_number 166
_space_group_name_Hall '-R 3 2"'
loop_
_atom_site_label
_atom_site_fract_x
_atom_site_fract_y
_atom_site_fract_z
_atom_site_occupancy
Na1 0.0000 0.0000 0.0000 1
Ag1 0.0000 0.0000 0.5000 1
Sb1 0.0000 0.0000 0.2259 1



Entry 19:
# CaPr4Nd6 PBE optimized geometry
# ΔH_f (0 K): 297 meV/atom
# DOS at the Fermi energy: 18.0 states/eV/f.u.
# uncorrected energy: -92.93 eV/cell
# ρ: 6.02 g cm⁻³
data_CaPr4Nd6
_chemical_formula_sum 'Ca2 Pr8 Nd12'
_cell_length_a 6.813
_cell_length_b 6.813
_cell_length_c 17.447
_cell_angle_alpha 90.00
_cell_angle_beta 90.00
_cell_angle_gamma 90.00
_space_group_name_H-M_alt 'I -4 2 m'
_space_group_IT_number 121
_space_group_name_Hall 'I -4 2'
loop_
_atom_site_label
_atom_site_fract_x
_atom_site_fract_y
_atom_site_fract_z
_atom_site_occupancy
Ca1 0.000 0.000 0.000 1
Pr1 0.184 0.184 0.817 1
Nd1 0.000 0.500 0.000 1
Nd2 0.164 0.164 0.621 1



Entry 20:
# MgScAs2 PBE optimized geometry
# ΔH_f (0 K): -609 meV/atom
# DOS at the Fermi energy: 1.3 states/eV/f.u.
# uncorrected energy: -78.64 eV/cell
# ρ: 4.28 g cm⁻³
data_MgScAs2
_chemical_formula_sum 'Mg4 Sc4 As8'
_cell_length_a 7.158
_cell_length_b 7.158
_cell_length_c 6.636
_cell_angle_alpha 90.00
_cell_angle_beta 90.00
_cell_angle_gamma 90.00
_space_group_name_H-M_alt 'I -4 2 d'
_space_group_IT_number 122
_space_group_name_Hall 'I -4 2bw'
loop_
_atom_site_label
_atom_site_fract_x
_atom_site_fract_y
_atom_site_fract_z
_atom_site_occupancy
Mg1 0.000 0.000 0.000 1
Sc1 0.000 0.000 0.500 1
As1 0.244 0.250 0.125 1



Entry 21:
# La4AgIr2 PBE optimized geometry
# ΔH_f (0 K): -86 meV/atom
# DOS at the Fermi energy: 6.2 states/eV/f.u.
# uncorrected energy: -81.77 eV/cell
# ρ: 7.41 g cm⁻³
data_La4AgIr2
_chemical_formula_sum 'La8 Ag2 Ir4'
_cell_length_a 5.824
_cell_length_b 5.824
_cell_length_c 13.836
_cell_angle_alpha 90.00
_cell_angle_beta 90.00
_cell_angle_gamma 90.00
_space_group_name_H-M_alt 'I 4/m m m'
_space_group_IT_number 139
_space_group_name_Hall '-I 4 2'
loop_
_atom_site_label
_atom_site_fract_x
_atom_site_fract_y
_atom_site_fract_z
_atom_site_occupancy
La1 0.000 0.000 0.225 1
La2 0.000 0.500 0.000 1
Ag1 0.000 0.000 0.000 1
Ir1 0.000 0.000 0.407 1